Record 1
PuGeAu11 (GGA-PBE, relaxed); calculated formation energy = -1.0 eV/f.u.
1.0
5.066 -0.242 2.110
2.204 6.754 0.918
-0.076 -0.121 7.318
Pu Ge Au
1 1 11
Direct
0.000 0.000 0.000
0.500 0.500 0.000
0.321 0.216 0.209
0.679 0.784 0.791
0.470 0.784 0.209
0.530 0.216 0.791
0.312 0.652 0.643
0.688 0.348 0.357
0.045 0.348 0.643
0.955 0.652 0.357
0.000 0.500 0.000
0.500 0.000 0.500
0.000 0.000 0.500



Record 2
Ga2MoAsH (GGA-PBE, relaxed); total DFT energy (no corrections) = -4.3354 eV/atom
1.0
-3.498 -1.788 3.234
2.492 -0.577 2.377
-0.683 4.690 1.854
H Mo As Ga
1 1 1 2
Direct
0.000 0.500 0.000
0.000 0.000 0.000
0.500 0.500 0.500
0.000 0.000 0.500
0.500 0.000 0.000



Record 3
AlCr2As (GGA-PBE, relaxed); calculated formation energy = -0.2 eV/f.u.; relative energy among the computed polymorphs = 0.0 kJ/mol of formula units
1.0
3.102 0.000 0.000
0.000 3.102 0.000
0.000 0.000 5.506
Cr As Al
2 1 1
Direct
0.000 0.000 0.993
0.500 0.500 0.250
0.500 0.500 0.774
0.000 0.000 0.483